# BSbN2F (meta-GGA SCAN, PBEsol geometry)
data_BSbN2F
_chemical_formula_sum 'B1 Sb1 N2 F1'
_cell_length_a 3.5392
_cell_length_b 3.5392
_cell_length_c 3.5476
_cell_angle_alpha 90.00
_cell_angle_beta 90.00
_cell_angle_gamma 90.00
_space_group_name_H-M_alt 'P 1'
_space_group_IT_number 1
loop_
_space_group_symop_operation_xyz
'x,y,z'
loop_
_atom_site_label
_atom_site_type_symbol
_atom_site_fract_x
_atom_site_fract_y
_atom_site_fract_z
B1 B 0.0000 0.0000 0.0000
Sb1 Sb 0.5000 0.5000 0.5000
N1 N 0.0000 0.5000 0.0000
N2 N 0.5000 0.0000 0.0000
F1 F 0.0000 0.0000 0.5000
# electronic total energy: -12.9391 eV/atom
# N(E_F): 1.9 states/eV/f.u.
# magnetic moment: 0.00 μB/f.u.
# formation energy from raw total energies: 0.423 eV/atom

# BSeN2F (meta-GGA SCAN, PBEsol geometry)
data_BSeN2F
_chemical_formula_sum 'B1 Se1 N2 F1'
_cell_length_a 3.5422
_cell_length_b 3.5422
_cell_length_c 3.2533
_cell_angle_alpha 90.00
_cell_angle_beta 90.00
_cell_angle_gamma 90.00
_space_group_name_H-M_alt 'P 1'
_space_group_IT_number 1
loop_
_space_group_symop_operation_xyz
'x,y,z'
loop_
_atom_site_label
_atom_site_type_symbol
_atom_site_fract_x
_atom_site_fract_y
_atom_site_fract_z
B1 B 0.0000 0.0000 0.0000
Se1 Se 0.5000 0.5000 0.5000
N1 N 0.0000 0.5000 0.0000
N2 N 0.5000 0.0000 0.0000
F1 F 0.0000 0.0000 0.5000
# electronic total energy: -9.1530 eV/atom
# N(E_F): 1.1 states/eV/f.u.
# magnetic moment: 0.00 μB/f.u.
# formation energy from raw total energies: 0.773 eV/atom

# BSe2NF (meta-GGA SCAN, PBEsol geometry)
data_BSe2NF
_chemical_formula_sum 'B1 Se2 N1 F1'
_cell_length_a 6.3124
_cell_length_b 6.3124
_cell_length_c 2.5287
_cell_angle_alpha 90.00
_cell_angle_beta 90.00
_cell_angle_gamma 90.00
_space_group_name_H-M_alt 'P 1'
_space_group_IT_number 1
loop_
_space_group_symop_operation_xyz
'x,y,z'
loop_
_atom_site_label
_atom_site_type_symbol
_atom_site_fract_x
_atom_site_fract_y
_atom_site_fract_z
B1 B 0.0000 0.0000 0.0000
Se1 Se 0.0000 0.5000 0.0000
Se2 Se 0.5000 0.0000 0.0000
N1 N 0.0000 0.0000 0.5000
F1 F 0.5000 0.5000 0.5000
# electronic total energy: -11.9431 eV/atom
# N(E_F): 3.0 states/eV/f.u.
# magnetic moment: 1.01 μB/f.u.
# formation energy from raw total energies: 0.140 eV/atom